Entry 1:
Compound: NaHAu2
Source: Alexandria via LeMat-Bulk
Functional: PBE
Structure: optimized geometry

Lattice parameters (Å, degrees): 4.520 4.520 4.520 60.00 60.00 60.00
Positions (direct):
Na 0.000 0.000 0.000
H 0.500 0.500 0.500
Au 0.250 0.250 0.250
Au 0.750 0.750 0.750

- Energy: -2.28 eV per atom
- M_tot: 0.000 μB per formula unit

Entry 2:
Compound: Na3H8Au2
Source: Alexandria via LeMat-Bulk
Functional: PBE
Structure: optimized geometry

Lattice parameters (Å, degrees): 7.170 7.170 7.170 42.56 42.56 42.56
Positions (direct):
Na 0.000 0.000 0.000
Na 0.214 0.214 0.214
Na 0.786 0.786 0.786
H 0.183 0.755 0.755
H 0.245 0.245 0.817
H 0.245 0.817 0.245
H 0.346 0.346 0.346
H 0.654 0.654 0.654
H 0.755 0.183 0.755
H 0.755 0.755 0.183
H 0.817 0.245 0.245
Au 0.431 0.431 0.431
Au 0.569 0.569 0.569

- Energy: -2.80 eV per atom
- M_tot: 0.000 μB per formula unit

Entry 3:
Compound: NaHAu2
Source: Alexandria via LeMat-Bulk
Functional: PBE
Structure: optimized geometry

Lattice parameters (Å, degrees): 6.541 6.541 6.541 130.89 130.89 71.99
Positions (direct):
Na 0.375 0.625 0.750
Na 0.625 0.375 0.250
H 0.125 0.875 0.250
H 0.875 0.125 0.750
Au 0.000 0.000 0.000
Au 0.000 0.000 0.500
Au 0.000 0.500 0.000
Au 0.500 0.000 0.500

- Energy: -2.80 eV per atom
- M_tot: 0.000 μB per formula unit

Entry 4:
Compound: NaH3Au
Source: Alexandria via LeMat-Bulk
Functional: PBE
Structure: optimized geometry

Lattice parameters (Å, degrees): 5.544 7.245 5.962 90.00 90.00 90.00
Positions (direct):
Na 0.000 0.000 0.000
Na 0.000 0.500 0.000
Na 0.500 0.000 0.500
Na 0.500 0.500 0.500
H 0.095 0.086 0.372
H 0.095 0.414 0.372
H 0.222 0.250 0.785
H 0.278 0.750 0.285
H 0.405 0.586 0.872
H 0.405 0.914 0.872
H 0.595 0.086 0.128
H 0.595 0.414 0.128
H 0.722 0.250 0.715
H 0.778 0.750 0.215
H 0.905 0.586 0.628
H 0.905 0.914 0.628
Au 0.031 0.750 0.470
Au 0.469 0.250 0.970
Au 0.531 0.750 0.030
Au 0.969 0.250 0.530

- Energy: -2.86 eV per atom
- M_tot: 0.000 μB per formula unit

Entry 5:
Compound: NaHAu
Source: Alexandria via LeMat-Bulk
Functional: PBE
Structure: optimized geometry

Lattice parameters (Å, degrees): 3.048 5.850 5.951 95.62 104.40 104.37
Positions (direct):
Na 0.229 0.287 0.181
Na 0.771 0.713 0.819
H 0.041 0.322 0.777
H 0.959 0.678 0.223
Au 0.412 0.161 0.671
Au 0.588 0.839 0.329

- Energy: -2.74 eV per atom
- M_tot: 0.000 μB per formula unit

Entry 6:
Compound: NaH3Au
Source: Alexandria via LeMat-Bulk
Functional: PBE
Structure: optimized geometry

Lattice parameters (Å, degrees): 7.430 7.430 5.982 99.55 99.55 24.31
Positions (direct):
Na 0.153 0.153 0.347
Na 0.847 0.847 0.653
H 0.018 0.018 0.555
H 0.116 0.116 0.978
H 0.313 0.313 0.405
H 0.687 0.687 0.595
H 0.884 0.884 0.022
H 0.982 0.982 0.445
Au 0.349 0.349 0.141
Au 0.651 0.651 0.859

- Energy: -2.92 eV per atom
- M_tot: 0.000 μB per formula unit